Here is a relaxed structure of Ti4Al3Cr from Alexandria via LeMat-Bulk. Energies are from PBE.

* crystal system: tetragonal
* calculated formation energy: -0.291 eV/atom
* total magnetization: 0.0 μB per formula unit

abc: 3.043 3.043 13.583
angles: 90.00 90.00 90.00
Element x y z (fractional)
Ti 0.000 0.000 0.102
Ti 0.000 0.000 0.365
Ti 0.000 0.000 0.635
Ti 0.000 0.000 0.898
Al 0.500 0.500 0.235
Al 0.500 0.500 0.500
Al 0.500 0.500 0.765
Cr 0.500 0.500 0.000

Here is a relaxed structure of VSnIN2 from Alexandria via LeMat-Bulk. Energies are from PBE.

* crystal system: tetragonal
* formation energy from raw total energies: 730.7 meV/atom
* excess energy over the best structure of this formula in the dataset: 0 meV per atom
* total magnetization: 0.0 μB per formula unit

abc: 4.068 4.068 5.385
angles: 90.00 90.00 90.00
Element x y z (fractional)
V 0.000 0.000 0.000
Sn 0.500 0.500 0.500
I 0.000 0.000 0.500
N 0.000 0.500 0.000
N 0.500 0.000 0.000

Here is a relaxed structure of FeCu3Br from Alexandria via LeMat-Bulk. Energies are from PBE.

* crystal system: cubic
* formation energy from raw total energies: 995.5 meV/atom
* excess energy over the best structure of this formula in the dataset: 0 meV per atom
* total magnetization: 2.6 μB per formula unit

abc: 4.592 4.592 4.592
angles: 90.00 90.00 90.00
Element x y z (fractional)
Fe 0.000 0.000 0.000
Cu 0.000 0.000 0.500
Cu 0.000 0.500 0.000
Cu 0.500 0.000 0.000
Br 0.500 0.500 0.500

Here is a relaxed structure of Ga2FeH2 from Alexandria via LeMat-Bulk. Energies are from PBE.

* crystal system: tetragonal
* excess energy over the best structure of this formula in the dataset: 0 meV per atom
* total magnetization: 0.8 μB per formula unit

abc: 4.381 4.381 5.332
angles: 90.00 90.00 90.00
Element x y z (fractional)
Ga 0.000 0.500 0.250
Ga 0.000 0.500 0.750
Ga 0.500 0.000 0.250
Ga 0.500 0.000 0.750
Fe 0.000 0.000 0.000
Fe 0.500 0.500 0.500
H 0.000 0.000 0.292
H 0.000 0.000 0.708
H 0.500 0.500 0.208
H 0.500 0.500 0.792

Here is a relaxed structure of VP from Alexandria via LeMat-Bulk. Energies are from PBE.

* crystal system: orthorhombic
* calculated formation energy: -0.444 eV/atom
* total magnetization: 0.0 μB per formula unit

abc: 3.873 7.823 5.590
angles: 90.00 90.00 90.00
Element x y z (fractional)
V 0.000 0.000 0.000
V 0.000 0.500 0.500
V 0.500 0.221 0.084
V 0.500 0.279 0.584
V 0.500 0.721 0.584
V 0.500 0.779 0.084
P 0.000 0.147 0.369
P 0.000 0.353 0.869
P 0.000 0.647 0.869
P 0.000 0.853 0.369
P 0.500 0.000 0.760
P 0.500 0.500 0.260

Here is a relaxed structure of BTePt2 from Alexandria via LeMat-Bulk. Energies are from PBE.

* crystal system: cubic
* formation energy from raw total energies: 769.4 meV/atom
* excess energy over the best structure of this formula in the dataset: 802 meV per atom
* total magnetization: 0.0 μB per formula unit

abc: 6.396 6.396 6.396
angles: 90.00 90.00 90.00
Element x y z (fractional)
B 0.000 0.000 0.000
B 0.000 0.500 0.500
B 0.500 0.000 0.500
B 0.500 0.500 0.000
Te 0.000 0.000 0.500
Te 0.000 0.500 0.000
Te 0.500 0.000 0.000
Te 0.500 0.500 0.500
Pt 0.250 0.250 0.250
Pt 0.250 0.250 0.750
Pt 0.250 0.750 0.250
Pt 0.250 0.750 0.750
Pt 0.750 0.250 0.250
Pt 0.750 0.250 0.750
Pt 0.750 0.750 0.250
Pt 0.750 0.750 0.750

Look up the total magnetization of the fourth one. 0.8 μB per formula unit

Which value of total magnetization does entry 1 give? 0.0 μB per formula unit

Repeat the first record exactly.
Here is a relaxed structure of Ti4Al3Cr from Alexandria via LeMat-Bulk. Energies are from PBE.

* crystal system: tetragonal
* calculated formation energy: -0.291 eV/atom
* total magnetization: 0.0 μB per formula unit

abc: 3.043 3.043 13.583
angles: 90.00 90.00 90.00
Element x y z (fractional)
Ti 0.000 0.000 0.102
Ti 0.000 0.000 0.365
Ti 0.000 0.000 0.635
Ti 0.000 0.000 0.898
Al 0.500 0.500 0.235
Al 0.500 0.500 0.500
Al 0.500 0.500 0.765
Cr 0.500 0.500 0.000

Which value of total magnetization does entry 2 give? 0.0 μB per formula unit